Entry 1:
{
  "formula": "BaZrSbI2",
  "functional": "meta-GGA SCAN",
  "state": "PBEsol geometry",
  "dos_ef_per_ev_cell": 2.416,
  "raw_formation_energy_ev_per_fu": 1.63,
  "spacegroup": "No. 123",
  "cell": [[6.252, 0.000, 0.000], [0.000, 6.252, 0.000], [0.000, 0.000, 6.440]],
  "species": ["I", "I", "Zr", "Sb", "Ba"],
  "frac_coords": [[0.500, 0.000, 0.000], [0.000, 0.500, 0.000], [0.500, 0.500, 0.500], [0.000, 0.000, 0.500], [0.000, 0.000, 0.000]]
}

=====

Entry 2:
{
  "formula": "PtRh4",
  "functional": "meta-GGA SCAN",
  "state": "PBEsol geometry",
  "dos_ef_per_ev_cell": 5.863,
  "formation_energy_kcal_per_mol_atoms": -0.7,
  "spacegroup": "No. 87",
  "cell": [[3.802, 0.000, 0.000], [1.901, 4.252, 0.000], [1.901, 0.000, 4.252]],
  "species": ["Rh", "Rh", "Rh", "Rh", "Pt"],
  "frac_coords": [[0.198, 0.400, 0.203], [0.598, 0.203, 0.600], [0.802, 0.600, 0.797], [0.402, 0.797, 0.400], [0.000, 0.000, 0.000]]
}

=====

Entry 3:
{
  "formula": "Sb6S2O15",
  "functional": "meta-GGA SCAN",
  "state": "PBEsol geometry",
  "dos_ef_per_ev_cell": 0.000,
  "raw_formation_energy_ev_per_fu": -33.90,
  "spacegroup": "No. 37",
  "cell": [[-4.391, 1.157, -3.667], [6.721, -2.058, -8.699], [-5.511, -8.972, 3.770]],
  "species": ["O", "O", "O", "O", "O", "O", "O", "O", "O", "O", "O", "O", "O", "O", "O", "O", "O", "O", "O", "O", "O", "O", "O", "O", "O", "O", "O", "O", "O", "O", "Sb", "Sb", "Sb", "Sb", "Sb", "Sb", "Sb", "Sb", "Sb", "Sb", "Sb", "Sb", "S", "S", "S", "S"],
  "frac_coords": [[0.938, 0.854, 0.518], [0.438, 0.482, 0.146], [0.348, 0.125, 0.436], [0.848, 0.436, 0.125], [0.381, 0.244, 0.241], [0.881, 0.241, 0.244], [0.843, 0.000, 0.000], [0.218, 0.772, 0.340], [0.670, 0.948, 0.744], [0.381, 0.756, 0.759], [0.670, 0.052, 0.256], [0.891, 0.844, 0.172], [0.881, 0.759, 0.756], [0.348, 0.875, 0.564], [0.891, 0.156, 0.828], [0.670, 0.512, 0.339], [0.391, 0.172, 0.844], [0.170, 0.744, 0.948], [0.670, 0.488, 0.661], [0.848, 0.564, 0.875], [0.170, 0.661, 0.488], [0.170, 0.256, 0.052], [0.343, 0.000, 0.000], [0.218, 0.228, 0.660], [0.718, 0.660, 0.228], [0.718, 0.340, 0.772], [0.170, 0.339, 0.512], [0.438, 0.518, 0.854], [0.391, 0.828, 0.156], [0.938, 0.146, 0.482], [0.111, 0.379, 0.247], [0.999, 0.041, 0.174], [0.611, 0.753, 0.621], [0.111, 0.621, 0.753], [0.499, 0.174, 0.041], [0.121, 0.698, 0.115], [0.621, 0.885, 0.302], [0.999, 0.959, 0.826], [0.621, 0.115, 0.698], [0.121, 0.302, 0.885], [0.611, 0.247, 0.379], [0.499, 0.826, 0.959], [0.161, 0.787, 0.476], [0.161, 0.213, 0.524], [0.661, 0.524, 0.213], [0.661, 0.476, 0.787]]
}

=====

Entry 4:
{
  "formula": "SiTe2MoPb",
  "functional": "meta-GGA SCAN",
  "state": "PBEsol geometry",
  "dos_ef_per_ev_cell": 3.421,
  "raw_formation_energy_ev_per_fu": 4.51,
  "spacegroup": "No. 123",
  "cell": [[5.147, 0.000, 0.000], [0.000, 5.147, 0.000], [0.000, 0.000, 5.389]],
  "species": ["Te", "Te", "Mo", "Pb", "Si"],
  "frac_coords": [[0.000, 0.500, 0.000], [0.500, 0.000, 0.000], [0.000, 0.000, 0.000], [0.000, 0.000, 0.500], [0.500, 0.500, 0.500]]
}

=====

Entry 5:
{
  "formula": "Zr2SbP2",
  "functional": "meta-GGA SCAN",
  "state": "PBEsol geometry",
  "dos_ef_per_ev_cell": 2.463,
  "raw_formation_energy_ev_per_fu": -4.31,
  "spacegroup": "No. 139",
  "cell": [[3.629, 0.000, 0.000], [0.000, 3.629, 0.000], [-1.814, -1.814, 7.092]],
  "species": ["P", "P", "Zr", "Zr", "Sb"],
  "frac_coords": [[0.250, 0.750, 0.500], [0.750, 0.250, 0.500], [0.386, 0.386, 0.772], [0.614, 0.614, 0.228], [0.000, 0.000, 0.000]]
}

=====

Entry 6:
{
  "formula": "AlCu3",
  "functional": "meta-GGA SCAN",
  "state": "PBEsol geometry",
  "dos_ef_per_ev_cell": 2.605,
  "formation_energy_kcal_per_mol_atoms": -4.8,
  "spacegroup": "No. 223",
  "cell": [[-3.738, 0.601, 2.599], [2.157, -1.952, 3.553], [1.570, 4.113, 1.307]],
  "species": ["Al", "Al", "Cu", "Cu", "Cu", "Cu", "Cu", "Cu"],
  "frac_coords": [[0.500, 0.500, 0.500], [0.000, 0.000, 0.000], [0.250, 0.500, 0.000], [0.500, 0.000, 0.250], [0.000, 0.250, 0.500], [0.750, 0.500, 0.000], [0.500, 0.000, 0.750], [0.000, 0.750, 0.500]]
}

=====

Entry 7:
{
  "formula": "LiFe2P",
  "functional": "meta-GGA SCAN",
  "state": "PBEsol geometry",
  "dos_ef_per_ev_cell": 2.579,
  "formation_energy_kcal_per_mol_atoms": -1.2,
  "spacegroup": "No. 99",
  "cell": [[-1.124, -0.276, 2.417], [-2.407, -0.260, -1.149], [0.874, -6.569, -0.345]],
  "species": ["Fe", "Fe", "P", "Li"],
  "frac_coords": [[0.500, 0.500, 0.217], [0.000, 0.000, 0.966], [0.500, 0.500, 0.791], [0.000, 0.000, 0.526]]
}

=====

Entry 8:
{
  "formula": "FeOs2Br",
  "functional": "meta-GGA SCAN",
  "state": "PBEsol geometry",
  "dos_ef_per_ev_cell": 3.642,
  "raw_formation_energy_ev_per_fu": 4.66,
  "spacegroup": "No. 47",
  "cell": [[2.791, 0.000, 0.000], [0.000, 4.637, 0.000], [0.000, 0.000, 4.535]],
  "species": ["Br", "Os", "Os", "Fe"],
  "frac_coords": [[0.500, 0.000, 0.500], [0.500, 0.500, 0.000], [0.000, 0.000, 0.000], [0.000, 0.500, 0.500]]
}

=====

Repeat the eighth record exactly.
{
  "formula": "FeOs2Br",
  "functional": "meta-GGA SCAN",
  "state": "PBEsol geometry",
  "dos_ef_per_ev_cell": 3.642,
  "raw_formation_energy_ev_per_fu": 4.66,
  "spacegroup": "No. 47",
  "cell": [[2.791, 0.000, 0.000], [0.000, 4.637, 0.000], [0.000, 0.000, 4.535]],
  "species": ["Br", "Os", "Os", "Fe"],
  "frac_coords": [[0.500, 0.000, 0.500], [0.500, 0.500, 0.000], [0.000, 0.000, 0.000], [0.000, 0.500, 0.500]]
}